4
Lattice="5.226 0.000 0.000 0.000 5.226 0.000 0.000 0.000 3.062" Properties=species:S:1:pos:R:3 comment="In2PtSe | Alexandria | PBE-GGA | optimized geometry" vol_a3_per_fu=84 formation_energy_uncorrected_kcal_per_mol_atoms=-2.00 dos_ef_per_ev_cell=1.7 pbc="T T T"
In 0.000 0.000 0.000
In 2.613 2.613 0.000
Pt 2.613 0.000 1.531
Se 0.000 2.613 1.531

4
Lattice="5.123 0.000 0.000 2.562 4.437 0.000 2.562 1.479 4.183" Properties=species:S:1:pos:R:3 comment="LiAcTmIr | Alexandria | PBE-GGA | optimized geometry" vol_a3_per_fu=95 dos_ef_per_ev_cell=3.0 formation_enthalpy_0k_mev_per_atom=-382 pbc="T T T"
Ac 2.562 1.479 1.046
Ir 5.123 2.958 2.091
Tm 7.685 4.437 3.137
Li 0.000 0.000 0.000

5
Lattice="6.377 0.000 0.000 0.000 6.377 0.000 3.188 3.188 3.306" Properties=species:S:1:pos:R:3 comment="Ba2Be2Ge | Alexandria | PBE-GGA | optimized geometry" vol_a3_per_fu=134 dos_ef_per_ev_cell=4.0 formation_enthalpy_0k_mev_per_atom=208 pbc="T T T"
Be 3.188 3.188 1.030
Be 6.377 6.377 2.276
Ge 0.000 0.000 0.000
Ba 6.377 3.188 1.653
Ba 3.188 6.377 1.653

4
Lattice="-2.141 -2.007 2.858 1.562 -0.503 3.753 -2.929 4.775 4.094" Properties=species:S:1:pos:R:3 comment="DyUSi2 | Alexandria | PBE-GGA | optimized geometry" vol_a3_per_fu=95 formation_energy_uncorrected_kcal_per_mol_atoms=-5.65 dos_ef_per_ev_cell=5.6 pbc="T T T"
Si -2.680 1.799 8.062
Si -0.828 0.467 2.642
U 0.000 0.000 0.000
Dy -1.754 1.133 5.352

4
Lattice="-0.388 -0.980 3.482 -2.676 -2.278 -0.939 6.173 -6.750 -1.212" Properties=species:S:1:pos:R:3 comment="EuHo2Hg | Alexandria | PBE-GGA | optimized geometry" vol_a3_per_fu=122 dos_ef_per_ev_cell=5.1 formation_enthalpy_0k_mev_per_atom=-160 pbc="T T T"
Eu 1.555 -5.004 0.665
Hg -1.532 -1.629 1.271
Ho 4.898 -5.355 -0.961
Ho 1.276 -1.395 -0.250

10
Lattice="-3.502 2.638 -0.690 -3.511 -4.430 0.882 1.820 5.057 10.095" Properties=species:S:1:pos:R:3 comment="Ca2NdPt2 | Alexandria | PBE-GGA | optimized geometry" vol_a3_per_fu=138 dos_ef_per_ev_cell=4.9 formation_enthalpy_0k_mev_per_atom=-899 pbc="T T T"
Ca -1.752 5.733 9.391
Ca -2.262 0.880 7.707
Ca -3.442 -2.468 0.895
Ca -2.931 2.385 2.580
Nd -2.245 4.186 5.980
Nd -2.949 -0.921 4.307
Pt -1.171 1.590 4.880
Pt -4.673 -0.081 1.994
Pt -0.520 3.346 8.292
Pt -4.023 1.675 5.406

12
Lattice="-4.018 -3.206 -2.411 3.991 -3.957 -0.801 -1.508 0.779 7.868" Properties=species:S:1:pos:R:3 comment="Pa2Si3Ru | Alexandria | PBE-GGA | optimized geometry" vol_a3_per_fu=113 formation_energy_uncorrected_kcal_per_mol_atoms=-15.91 dos_ef_per_ev_cell=11.9 pbc="T T T"
Pa 1.235 -3.380 2.730
Pa -0.020 -5.323 -2.387
Pa -2.769 -3.004 1.926
Pa -0.007 -1.840 -0.825
Si 1.779 -4.237 -0.158
Si 0.775 -2.530 5.635
Si -3.314 -2.146 4.814
Si -2.310 -3.854 -0.980
Si -0.503 -0.927 2.071
Si -1.031 -5.457 2.585
Ru -0.515 -4.507 0.461
Ru -1.019 -1.877 4.194

4
Lattice="-2.100 3.421 -1.709 -1.770 0.123 2.420 3.683 4.444 4.369" Properties=species:S:1:pos:R:3 comment="SrTa2W | Alexandria | PBE-GGA | optimized geometry" vol_a3_per_fu=93 dos_ef_per_ev_cell=4.4 formation_enthalpy_0k_mev_per_atom=689 pbc="T T T"
Sr 0.385 5.135 4.237
Ta 0.262 0.353 0.383
Ta 0.694 1.931 3.011
W -0.572 2.852 0.843

no.,E (eV/atom)
1,-3.837
2,-5.221
3,-2.975
4,-6.929
5,-5.093
6,-5.069
7,-8.113
8,-8.896